First-principles (GGA-PBEsol) data for a relaxed structure of CsBiSe3, as listed in Alexandria. Values from VASP.

## Properties
ΔE_f (raw) (eV/atom): 1.043
SG: No. 221
Final energy (eV per atom): -2.31
Total moment (μB/f.u.): 0.00

Structure (Quantum ESPRESSO input):
```
&SYSTEM
  ibrav = 0, nat = 5, ntyp = 3
/
ATOMIC_SPECIES
Cs 132.91 Cs.upf
Bi 208.98 Bi.upf
Se 78.96 Se.upf
CELL_PARAMETERS angstrom
5.566 0.000 0.000
0.000 5.566 0.000
0.000 0.000 5.566
ATOMIC_POSITIONS crystal
Cs 0.000 0.000 0.000
Bi 0.500 0.500 0.500
Se 0.000 0.000 0.500
Se 0.000 0.500 0.000
Se 0.500 0.000 0.000
```

First-principles (GGA-PBEsol) data for a relaxed structure of CsSn2Bi2, as listed in Alexandria. Values from VASP.

## Properties
SG: No. 139
Final energy (eV per atom): -3.78
Total moment (μB/f.u.): 0.00

Structure (Quantum ESPRESSO input):
```
&SYSTEM
  ibrav = 0, nat = 10, ntyp = 3
/
ATOMIC_SPECIES
Cs 132.91 Cs.upf
Sn 118.71 Sn.upf
Bi 208.98 Bi.upf
CELL_PARAMETERS angstrom
5.444 0.000 0.000
0.000 5.444 0.000
0.000 0.000 12.764
ATOMIC_POSITIONS crystal
Cs 0.000 0.000 0.000
Cs 0.500 0.500 0.500
Sn 0.000 0.500 0.250
Sn 0.000 0.500 0.750
Sn 0.500 0.000 0.250
Sn 0.500 0.000 0.750
Bi 0.000 0.000 0.365
Bi 0.000 0.000 0.635
Bi 0.500 0.500 0.135
Bi 0.500 0.500 0.865
```

First-principles (GGA-PBEsol) data for a relaxed structure of Cs3SnBi, as listed in Alexandria. Values from VASP.

## Properties
SG: No. 221
Final energy (eV per atom): -1.95
Total moment (μB/f.u.): 1.82

Structure (Quantum ESPRESSO input):
```
&SYSTEM
  ibrav = 0, nat = 5, ntyp = 3
/
ATOMIC_SPECIES
Cs 132.91 Cs.upf
Sn 118.71 Sn.upf
Bi 208.98 Bi.upf
CELL_PARAMETERS angstrom
6.927 0.000 0.000
0.000 6.927 0.000
0.000 0.000 6.927
ATOMIC_POSITIONS crystal
Cs 0.000 0.000 0.500
Cs 0.000 0.500 0.000
Cs 0.500 0.000 0.000
Sn 0.000 0.000 0.000
Bi 0.500 0.500 0.500
```